(1)
Crystalline Pm5Ga5Ir2 at its relaxed geometry. Source: Alexandria, functional PBE.

Computed properties:
The raw total energy comes out at -5.3564 eV per atom. The crystal system is monoclinic. The value obtained for the energy of formation from the pure elements is -0.64 eV per atom.

Unit cell a=4.440 b=7.946 c=8.684 alpha=89.18 beta=75.19 gamma=73.78
Positions (direct):
1 Pm 0.000 0.500 0.500
2 Pm 0.694 0.689 0.923
3 Pm 0.367 0.934 0.333
4 Pm 0.633 0.066 0.667
5 Pm 0.306 0.311 0.077
6 Ga 0.719 0.229 0.333
7 Ga 0.947 0.295 0.812
8 Ga 0.053 0.705 0.188
9 Ga 0.281 0.771 0.667
10 Ga 0.000 0.000 0.000
11 Ir 0.392 0.453 0.762
12 Ir 0.608 0.547 0.238


(2)
Crystalline Pm6GaIr2 at its relaxed geometry. Source: Alexandria, functional PBE.

Computed properties:
The raw total energy comes out at -5.9903 eV per atom. The crystal system is orthorhombic. The value obtained for the energy of formation from the pure elements is -0.52 eV per atom.

Unit cell a=8.661 b=8.661 c=8.661 alpha=104.61 beta=110.91 gamma=113.01
Positions (direct):
1 Pm 0.539 0.717 0.822
2 Pm 0.461 0.283 0.178
3 Pm 0.105 0.283 0.822
4 Pm 0.895 0.717 0.178
5 Pm 0.804 0.761 0.565
6 Pm 0.196 0.239 0.435
7 Pm 0.196 0.761 0.957
8 Pm 0.804 0.239 0.043
9 Pm 0.691 0.359 0.668
10 Pm 0.309 0.641 0.332
11 Pm 0.309 0.978 0.668
12 Pm 0.691 0.022 0.332
13 Ga 0.000 0.500 0.500
14 Ga 0.000 0.000 0.000
15 Ir 0.500 0.370 0.870
16 Ir 0.500 0.630 0.130
17 Ir 0.671 0.000 0.671
18 Ir 0.329 0.000 0.329


(3)
Crystalline Pm3Ga2Ir2 at its relaxed geometry. Source: Alexandria, functional PBE.

Computed properties:
The raw total energy comes out at -6.1850 eV per atom. The crystal system is orthorhombic. The value obtained for the energy of formation from the pure elements is -0.75 eV per atom.

Unit cell a=5.688 b=8.021 c=13.828 alpha=90.00 beta=90.00 gamma=90.00
Positions (direct):
1 Pm 0.148 0.602 0.099
2 Pm 0.852 0.398 0.599
3 Pm 0.852 0.102 0.401
4 Pm 0.148 0.898 0.901
5 Pm 0.852 0.398 0.901
6 Pm 0.148 0.602 0.401
7 Pm 0.148 0.898 0.599
8 Pm 0.852 0.102 0.099
9 Pm 0.376 0.240 0.250
10 Pm 0.624 0.760 0.750
11 Pm 0.624 0.740 0.250
12 Pm 0.376 0.260 0.750
13 Ga 0.373 0.250 0.000
14 Ga 0.627 0.750 0.500
15 Ga 0.627 0.750 0.000
16 Ga 0.373 0.250 0.500
17 Ga 0.871 0.394 0.250
18 Ga 0.129 0.606 0.750
19 Ga 0.129 0.894 0.250
20 Ga 0.871 0.106 0.750
21 Ir 0.648 0.468 0.092
22 Ir 0.352 0.532 0.592
23 Ir 0.352 0.968 0.408
24 Ir 0.648 0.032 0.908
25 Ir 0.352 0.532 0.908
26 Ir 0.648 0.468 0.408
27 Ir 0.648 0.032 0.592
28 Ir 0.352 0.968 0.092


(4)
Crystalline Pm2Ga4Ir3 at its relaxed geometry. Source: Alexandria, functional PBE.

Computed properties:
The raw total energy comes out at -5.9723 eV per atom. The crystal system is orthorhombic. As for the relative energy among the computed polymorphs: 81 kJ/mol of formula units. The value obtained for the energy of formation from the pure elements is -0.62 eV per atom.

Unit cell a=5.583 b=5.583 c=6.981 alpha=101.45 beta=101.45 gamma=120.25
Positions (direct):
1 Pm 0.626 0.626 0.252
2 Pm 0.374 0.374 0.748
3 Ga 0.012 0.670 0.682
4 Ga 0.670 0.012 0.682
5 Ga 0.988 0.330 0.318
6 Ga 0.330 0.988 0.318
7 Ir 0.500 0.000 0.000
8 Ir 0.000 0.000 0.000
9 Ir 0.000 0.500 0.000


Repeat the third record exactly.
Crystalline Pm3Ga2Ir2 at its relaxed geometry. Source: Alexandria, functional PBE.

Computed properties:
The raw total energy comes out at -6.1850 eV per atom. The crystal system is orthorhombic. The value obtained for the energy of formation from the pure elements is -0.75 eV per atom.

Unit cell a=5.688 b=8.021 c=13.828 alpha=90.00 beta=90.00 gamma=90.00
Positions (direct):
1 Pm 0.148 0.602 0.099
2 Pm 0.852 0.398 0.599
3 Pm 0.852 0.102 0.401
4 Pm 0.148 0.898 0.901
5 Pm 0.852 0.398 0.901
6 Pm 0.148 0.602 0.401
7 Pm 0.148 0.898 0.599
8 Pm 0.852 0.102 0.099
9 Pm 0.376 0.240 0.250
10 Pm 0.624 0.760 0.750
11 Pm 0.624 0.740 0.250
12 Pm 0.376 0.260 0.750
13 Ga 0.373 0.250 0.000
14 Ga 0.627 0.750 0.500
15 Ga 0.627 0.750 0.000
16 Ga 0.373 0.250 0.500
17 Ga 0.871 0.394 0.250
18 Ga 0.129 0.606 0.750
19 Ga 0.129 0.894 0.250
20 Ga 0.871 0.106 0.750
21 Ir 0.648 0.468 0.092
22 Ir 0.352 0.532 0.592
23 Ir 0.352 0.968 0.408
24 Ir 0.648 0.032 0.908
25 Ir 0.352 0.532 0.908
26 Ir 0.648 0.468 0.408
27 Ir 0.648 0.032 0.592
28 Ir 0.352 0.968 0.092


Q: Among the records above, which one has the highest energy of formation from the pure elements?
A: Pm6GaIr2


Q: Among the records above, which one has the lowest energy of formation from the pure elements?
A: Pm3Ga2Ir2


Q: raw total energy of number 3 (Pm3Ga2Ir2)?
A: -6.1850 eV per atom